No. 1
A geometry-optimized La2CrGaH structure. Source: Alexandria via LeMat-Bulk, functional GGA-PBE.

E, eV/atom: -5.3253
Calculated volume, Å³ per atom: 21.436

Cell lengths 5.2711, 5.2711, 3.8575 Å; angles 90.00, 90.00, 90.00 degrees
Last column: nearest neighbours and their distance in Å.
Space group P4/mmm (No. 123)
One atom of each set of equivalent atoms:
1 La 0.0000 0.5000 0.0000 (multiplicity 2)  2 H 2.64
2 Cr 0.0000 0.0000 0.5000 (multiplicity 1)  2 H 1.93
3 Ga 0.5000 0.5000 0.5000 (multiplicity 1)  8 La 3.27
4 H 0.0000 0.0000 0.0000 (multiplicity 1)  2 Cr 1.93


No. 2
A geometry-optimized Li2CrGaH structure. Source: Alexandria via LeMat-Bulk, functional GGA-PBE.

E, eV/atom: -4.0426
Calculated volume, Å³ per atom: 11.555

Cell lengths 3.7180, 3.7180, 4.1794 Å; angles 90.00, 90.00, 90.00 degrees
Last column: nearest neighbours and their distance in Å.
Space group P4/mmm (No. 123)
One atom of each set of equivalent atoms:
1 Li 0.0000 0.5000 0.0000 (multiplicity 2)  2 H 1.86
2 Cr 0.0000 0.0000 0.5000 (multiplicity 1)  2 H 2.09
3 Ga 0.5000 0.5000 0.5000 (multiplicity 1)  4 Cr 2.63, 8 Li 2.80
4 H 0.0000 0.0000 0.0000 (multiplicity 1)  4 Li 1.86


No. 3
A geometry-optimized MnCr2GaH structure. Source: Alexandria via LeMat-Bulk, functional GGA-PBE.

E, eV/atom: -6.9495
Calculated volume, Å³ per atom: 10.545

Cell lengths 3.7838, 3.7838, 3.6827 Å; angles 90.00, 90.00, 90.00 degrees
Last column: nearest neighbours and their distance in Å.
Space group P4/mmm (No. 123)
One atom of each set of equivalent atoms:
1 Mn 0.0000 0.0000 0.0000 (multiplicity 1)  2 H 1.84
2 Cr 0.0000 0.5000 0.5000 (multiplicity 2)  2 H 1.89
3 Ga 0.5000 0.5000 0.0000 (multiplicity 1)  8 Cr 2.64, 4 Mn 2.68
4 H 0.0000 0.0000 0.5000 (multiplicity 1)  2 Mn 1.84, 4 Cr 1.89


No. 4
A geometry-optimized Cr2GaMoH structure. Source: Alexandria via LeMat-Bulk, functional GGA-PBE.

E, eV/atom: -7.2039
Calculated volume, Å³ per atom: 11.295

Cell lengths 3.8143, 3.8143, 3.8818 Å; angles 90.00, 90.00, 90.00 degrees
Last column: nearest neighbours and their distance in Å.
Space group P4/mmm (No. 123)
One atom of each set of equivalent atoms:
1 Cr 0.0000 0.5000 0.0000 (multiplicity 2)  2 H 1.91
2 Ga 0.0000 0.0000 0.5000 (multiplicity 1)  4 Mo 2.70, 8 Cr 2.72
3 Mo 0.5000 0.5000 0.5000 (multiplicity 1)  2 H 1.94
4 H 0.5000 0.5000 0.0000 (multiplicity 1)  4 Cr 1.91, 2 Mo 1.94